1.
{"formula": "TcAg3N", "functional": "PBE", "state": "optimized geometry", "formation_energy_uncorrected_mev_per_atom": 1192, "space_group": "Pm-3m, No. 221", "crystal_system": "cubic", "energy_ev_per_atom": -4.2569, "cell": [[4.3572, 0.0000, 0.0000], [0.0000, 4.3572, 0.0000], [0.0000, 0.0000, 4.3572]], "species": ["Tc", "Ag", "Ag", "Ag", "N"], "fractional_positions": [[0.0000, 0.0000, 0.0000], [0.0000, 0.5000, 0.5000], [0.5000, 0.0000, 0.5000], [0.5000, 0.5000, 0.0000], [0.5000, 0.5000, 0.5000]]}

2.
{"formula": "TcAgN3", "functional": "PBE", "state": "optimized geometry", "formation_energy_uncorrected_mev_per_atom": 1057, "space_group": "Pm-3m, No. 221", "crystal_system": "cubic", "energy_ev_per_atom": -6.5816, "cell": [[3.9127, 0.0000, 0.0000], [0.0000, 3.9127, 0.0000], [0.0000, 0.0000, 3.9127]], "species": ["Tc", "Ag", "N", "N", "N"], "fractional_positions": [[0.0000, 0.0000, 0.0000], [0.5000, 0.5000, 0.5000], [0.0000, 0.0000, 0.5000], [0.0000, 0.5000, 0.0000], [0.5000, 0.0000, 0.0000]]}

3.
{"formula": "TcAgN3", "functional": "PBE", "state": "optimized geometry", "formation_energy_uncorrected_mev_per_atom": 2643, "space_group": "Pm-3m, No. 221", "crystal_system": "cubic", "energy_ev_per_atom": -4.9955, "cell": [[3.9857, 0.0000, 0.0000], [0.0000, 3.9857, 0.0000], [0.0000, 0.0000, 3.9857]], "species": ["Tc", "Ag", "N", "N", "N"], "fractional_positions": [[0.0000, 0.0000, 0.0000], [0.5000, 0.5000, 0.5000], [0.0000, 0.5000, 0.5000], [0.5000, 0.0000, 0.5000], [0.5000, 0.5000, 0.0000]]}

4.
{"formula": "TcAg2N", "functional": "PBE", "state": "optimized geometry", "formation_energy_uncorrected_mev_per_atom": 813, "space_group": "I-42d, No. 122", "crystal_system": "tetragonal", "energy_ev_per_atom": -5.2855, "cell": [[-4.2704, 4.2704, 1.9067], [4.2704, -4.2704, 1.9067], [4.2704, 4.2704, -1.9067]], "species": ["Tc", "Tc", "Ag", "Ag", "Ag", "Ag", "N", "N"], "fractional_positions": [[0.0000, 0.0000, 0.0000], [0.7500, 0.2500, 0.5000], [0.2423, 0.1250, 0.6173], [0.3750, 0.7577, 0.8827], [0.5077, 0.6250, 0.3827], [0.8750, 0.4923, 0.1173], [0.2500, 0.7500, 0.5000], [0.5000, 0.5000, 0.0000]]}

5.
{"formula": "Tc2AgN", "functional": "PBE", "state": "optimized geometry", "formation_energy_uncorrected_mev_per_atom": 798, "space_group": "I-42d, No. 122", "crystal_system": "tetragonal", "energy_ev_per_atom": -7.1791, "cell": [[-2.6077, 2.6077, 5.0662], [2.6077, -2.6077, 5.0662], [2.6077, 2.6077, -5.0662]], "species": ["Tc", "Tc", "Tc", "Tc", "Ag", "Ag", "N", "N"], "fractional_positions": [[0.3750, 0.2378, 0.3628], [0.7622, 0.1250, 0.1372], [0.8750, 0.0122, 0.6372], [0.9878, 0.6250, 0.8628], [0.2500, 0.7500, 0.5000], [0.5000, 0.5000, 0.0000], [0.0000, 0.0000, 0.0000], [0.7500, 0.2500, 0.5000]]}

6.
{"formula": "TiTcAgN2", "functional": "PBE", "state": "optimized geometry", "formation_energy_uncorrected_mev_per_atom": 2300, "space_group": "P4/mmm, No. 123", "crystal_system": "tetragonal", "energy_ev_per_atom": -5.2525, "cell": [[3.9907, 0.0000, 0.0000], [0.0000, 3.9907, 0.0000], [0.0000, 0.0000, 5.0179]], "species": ["Ti", "Tc", "Ag", "N", "N"], "fractional_positions": [[0.0000, 0.0000, 0.0000], [0.5000, 0.5000, 0.0000], [0.0000, 0.0000, 0.5000], [0.0000, 0.5000, 0.5000], [0.5000, 0.0000, 0.5000]]}

7.
{"formula": "YTc2AgN", "functional": "PBE", "state": "optimized geometry", "formation_energy_uncorrected_mev_per_atom": 1819, "space_group": "P4/mmm, No. 123", "crystal_system": "tetragonal", "energy_ev_per_atom": -5.8557, "cell": [[5.0865, 0.0000, 0.0000], [0.0000, 5.0865, 0.0000], [0.0000, 0.0000, 3.8104]], "species": ["Y", "Tc", "Tc", "Ag", "N"], "fractional_positions": [[0.0000, 0.0000, 0.0000], [0.0000, 0.5000, 0.5000], [0.5000, 0.0000, 0.5000], [0.5000, 0.5000, 0.5000], [0.5000, 0.5000, 0.0000]]}

8.
{"formula": "ZrTc2AgN", "functional": "PBE", "state": "optimized geometry", "formation_energy_uncorrected_mev_per_atom": -187, "space_group": "P4/mmm, No. 123", "crystal_system": "tetragonal", "energy_ev_per_atom": -8.2788, "cell": [[4.0987, 0.0000, 0.0000], [0.0000, 4.0987, 0.0000], [0.0000, 0.0000, 4.4303]], "species": ["Zr", "Tc", "Tc", "Ag", "N"], "fractional_positions": [[0.0000, 0.0000, 0.0000], [0.0000, 0.5000, 0.5000], [0.5000, 0.0000, 0.5000], [0.5000, 0.5000, 0.0000], [0.0000, 0.0000, 0.5000]]}

9.
{"formula": "AgTeN", "functional": "PBE", "state": "optimized geometry", "relative_energy_mev_per_atom": 10.5, "formation_energy_uncorrected_mev_per_atom": 786, "space_group": "Cm, No. 8", "crystal_system": "monoclinic", "energy_ev_per_atom": -3.9866, "cell": [[5.6761, -1.5610, 0.0000], [5.6761, 1.5610, 0.0000], [-1.5367, 0.0000, 6.5164]], "species": ["Ag", "Ag", "Te", "Te", "N", "N"], "fractional_positions": [[0.0000, 0.0000, 0.0000], [0.5861, 0.5861, 0.3660], [0.2135, 0.2135, 0.8585], [0.8492, 0.8492, 0.4662], [0.3714, 0.3714, 0.6986], [0.8022, 0.8022, 0.0242]]}

10.
{"formula": "AgTe3N", "functional": "PBE", "state": "optimized geometry", "relative_energy_mev_per_atom": 1080.1, "formation_energy_uncorrected_mev_per_atom": 1834, "space_group": "Pm-3m, No. 221", "crystal_system": "cubic", "energy_ev_per_atom": -2.2859, "cell": [[5.3500, 0.0000, 0.0000], [0.0000, 5.3500, 0.0000], [0.0000, 0.0000, 5.3500]], "species": ["Ag", "Te", "Te", "Te", "N"], "fractional_positions": [[0.0000, 0.0000, 0.0000], [0.0000, 0.0000, 0.5000], [0.0000, 0.5000, 0.0000], [0.5000, 0.0000, 0.0000], [0.5000, 0.5000, 0.5000]]}

11.
{"formula": "AgTe2N2", "functional": "PBE", "state": "optimized geometry", "relative_energy_mev_per_atom": 835.1, "formation_energy_uncorrected_mev_per_atom": 2109, "space_group": "P4/mmm, No. 123", "crystal_system": "tetragonal", "energy_ev_per_atom": -3.0483, "cell": [[5.6298, 0.0000, 0.0000], [0.0000, 5.6298, 0.0000], [0.0000, 0.0000, 3.9322]], "species": ["Ag", "Te", "Te", "N", "N"], "fractional_positions": [[0.0000, 0.0000, 0.0000], [0.0000, 0.5000, 0.0000], [0.5000, 0.0000, 0.0000], [0.0000, 0.0000, 0.5000], [0.5000, 0.5000, 0.5000]]}

12.
{"formula": "AgTe3N", "functional": "PBE", "state": "optimized geometry", "relative_energy_mev_per_atom": 0.0, "formation_energy_uncorrected_mev_per_atom": 754, "space_group": "Pm-3m, No. 221", "crystal_system": "cubic", "energy_ev_per_atom": -3.3659, "cell": [[4.7981, 0.0000, 0.0000], [0.0000, 4.7981, 0.0000], [0.0000, 0.0000, 4.7981]], "species": ["Ag", "Te", "Te", "Te", "N"], "fractional_positions": [[0.0000, 0.0000, 0.0000], [0.0000, 0.5000, 0.5000], [0.5000, 0.0000, 0.5000], [0.5000, 0.5000, 0.0000], [0.5000, 0.5000, 0.5000]]}